# YZnGeBi2

A crystal of YZnGeBi2 relaxed with PBEsol (SCAN, the Alexandria database).

a b c (Å): 4.491 5.626 5.626
angles (deg): 90.00 90.00 90.00
Element x y z (fractional)
Zn  0.500  0.000  0.000
Y  0.500  0.500  0.500
Bi  0.000  0.500  0.000
Ge  0.000  0.000  0.000
Bi  0.000  0.000  0.500

Magnetization ... 0.00 μB per cell
Symmetry ... No. 123
D(E_F) ... 2.923 states/eV per cell
Formation energy ... 69.9 kJ/mol of formula units

=====

# FeO

A crystal of FeO relaxed with PBEsol (SCAN, the Alexandria database).

a b c (Å): 3.000 3.002 3.000
angles (deg): 60.02 90.00 119.98
Element x y z (fractional)
Fe  0.000  0.000  0.000
O  0.500  0.000  0.500

Magnetization ... 4.00 μB per cell
Symmetry ... No. 225
E_tot ... -26.9 eV/cell
D(E_F) ... 1.066 states/eV per cell

=====

# CaTcB3

A crystal of CaTcB3 relaxed with PBEsol (SCAN, the Alexandria database).

a b c (Å): 4.100 4.100 4.100
angles (deg): 90.00 90.00 90.00
Element x y z (fractional)
Ca  0.500  0.500  0.500
B  0.000  0.500  0.000
B  0.500  0.000  0.000
B  0.000  0.000  0.500
Tc  0.000  0.000  0.000

Magnetization ... 0.00 μB per cell
Symmetry ... No. 221
D(E_F) ... 1.092 states/eV per cell
Formation energy ... 92.3 kJ/mol of formula units

=====

# V3ReB4

A crystal of V3ReB4 relaxed with PBEsol (SCAN, the Alexandria database).

a b c (Å): 2.971 3.037 8.067
angles (deg): 90.00 90.00 90.00
Element x y z (fractional)
V  0.500  0.500  0.360
V  0.000  0.500  0.646
B  0.500  0.000  0.566
Re  0.000  0.000  0.151
B  0.500  0.500  0.056
B  0.000  0.000  0.441
B  0.000  0.500  0.929
V  0.500  0.000  0.852

Magnetization ... 0.00 μB per cell
Symmetry ... No. 25
D(E_F) ... 3.029 states/eV per cell
Formation energy ... -580.8 kJ/mol of formula units

=====

# La2CrCl

A crystal of La2CrCl relaxed with PBEsol (SCAN, the Alexandria database).

a b c (Å): 3.403 3.403 8.245
angles (deg): 90.00 90.00 90.00
Element x y z (fractional)
Cr  0.500  0.500  0.500
La  0.000  0.000  0.270
La  0.000  0.000  0.730
Cl  0.500  0.500  0.000

Magnetization ... 2.63 μB per cell
Symmetry ... No. 123
Offset from the most stable computed form ... 0 meV/atom
D(E_F) ... 3.126 states/eV per cell

=====

# YZr2Re

A crystal of YZr2Re relaxed with PBEsol (SCAN, the Alexandria database).

a b c (Å): 3.457 4.795 4.890
angles (deg): 90.00 90.00 90.00
Element x y z (fractional)
Zr  0.000  0.000  0.000
Y  0.000  0.500  0.500
Re  0.500  0.500  0.000
Zr  0.500  0.000  0.500

Magnetization ... 0.00 μB per cell
Symmetry ... No. 47
Offset from the most stable computed form ... 340 meV/atom
D(E_F) ... 5.024 states/eV per cell
Formation energy ... 98.4 kJ/mol of formula units

=====

# AgTe3Au

A crystal of AgTe3Au relaxed with PBEsol (SCAN, the Alexandria database).

a b c (Å): 5.364 5.364 5.364
angles (deg): 90.00 90.00 90.00
Element x y z (fractional)
Ag  0.500  0.500  0.500
Te  0.000  0.000  0.500
Au  0.000  0.000  0.000
Te  0.000  0.500  0.000
Te  0.500  0.000  0.000

Magnetization ... 0.00 μB per cell
Symmetry ... No. 221
E_tot ... -209.3 eV/cell
D(E_F) ... 5.071 states/eV per cell

=====

# Ta2InRh

A crystal of Ta2InRh relaxed with PBEsol (SCAN, the Alexandria database).

a b c (Å): 2.922 2.922 9.512
angles (deg): 81.16 81.16 60.00
Element x y z (fractional)
Ta  0.244  0.244  0.269
In  0.000  0.000  0.000
Rh  0.500  0.500  0.500
Ta  0.756  0.756  0.731

Magnetization ... 0.00 μB per cell
Symmetry ... No. 166
D(E_F) ... 4.561 states/eV per cell
Formation energy ... 9.7 kJ/mol of formula units

=====

# K3MnTc

A crystal of K3MnTc relaxed with PBEsol (SCAN, the Alexandria database).

a b c (Å): 6.164 6.164 6.164
angles (deg): 90.00 90.00 90.00
Element x y z (fractional)
Tc  0.000  0.000  0.000
Mn  0.500  0.500  0.500
K  0.000  0.000  0.500
K  0.000  0.500  0.000
K  0.500  0.000  0.000

Magnetization ... 7.53 μB per cell
Symmetry ... No. 221
D(E_F) ... 10.201 states/eV per cell
Formation energy ... 699.9 kJ/mol of formula units

=====

# KTi3Sb

A crystal of KTi3Sb relaxed with PBEsol (SCAN, the Alexandria database).

a b c (Å): 5.166 5.166 5.166
angles (deg): 90.00 90.00 90.00
Element x y z (fractional)
Ti  0.000  0.500  0.000
Ti  0.500  0.000  0.000
K  0.500  0.500  0.500
Ti  0.000  0.000  0.500
Sb  0.000  0.000  0.000

Magnetization ... 8.19 μB per cell
Symmetry ... No. 221
E_tot ... -89.5 eV/cell
D(E_F) ... 5.828 states/eV per cell

=====

# MgTl8

A crystal of MgTl8 relaxed with PBEsol (SCAN, the Alexandria database).

a b c (Å): 4.720 7.603 7.603
angles (deg): 84.47 71.92 71.92
Element x y z (fractional)
Mg  0.000  0.000  0.000
Tl  0.664  0.672  0.000
Tl  0.000  0.670  0.330
Tl  0.000  0.330  0.670
Tl  0.664  0.000  0.672
Tl  0.336  0.000  0.328
Tl  0.330  0.670  0.670
Tl  0.336  0.328  0.000
Tl  0.670  0.330  0.330

Magnetization ... 0.00 μB per cell
Symmetry ... No. 139
D(E_F) ... 4.649 states/eV per cell
Formation energy ... 15.9 kJ/mol of formula units

=====

# ZnNi2N2

A crystal of ZnNi2N2 relaxed with PBEsol (SCAN, the Alexandria database).

a b c (Å): 3.462 3.462 4.862
angles (deg): 90.00 90.00 90.00
Element x y z (fractional)
Ni  0.000  0.000  0.262
Ni  0.000  0.000  0.738
Zn  0.500  0.500  0.000
N  0.000  0.500  0.246
N  0.500  0.000  0.754

Magnetization ... 0.00 μB per cell
Symmetry ... No. 115
E_tot ... -62.2 eV/cell
D(E_F) ... 3.327 states/eV per cell

=====

# Li24Cd5

A crystal of Li24Cd5 relaxed with PBEsol (SCAN, the Alexandria database).

a b c (Å): 8.724 8.724 8.724
angles (deg): 109.47 109.47 109.47
Element x y z (fractional)
Li  0.000  0.598  0.311
Cd  0.000  0.000  0.365
Li  0.811  0.000  0.631
Li  0.287  0.689  0.689
Li  0.369  0.180  0.369
Cd  0.000  0.000  0.000
Li  0.811  0.631  0.000
Cd  0.365  0.000  0.000
Li  0.000  0.631  0.811
Li  0.598  0.000  0.311
Li  0.189  0.820  0.189
Li  0.598  0.311  0.000
Cd  0.635  0.635  0.635
Li  0.180  0.369  0.369
Li  0.631  0.811  0.000
Li  0.713  0.402  0.402
Li  0.402  0.713  0.402
Li  0.189  0.189  0.820
Li  0.820  0.189  0.189
Li  0.000  0.311  0.598
Li  0.369  0.369  0.180
Li  0.689  0.287  0.689
Li  0.000  0.811  0.631
Cd  0.000  0.365  0.000
Li  0.402  0.402  0.713
Li  0.311  0.598  0.000
Li  0.689  0.689  0.287
Li  0.631  0.000  0.811
Li  0.311  0.000  0.598

Magnetization ... 0.40 μB per cell
Symmetry ... No. 217
D(E_F) ... 12.668 states/eV per cell
Formation energy ... -326.7 kJ/mol of formula units

=====

# Ag2Rh3

A crystal of Ag2Rh3 relaxed with PBEsol (SCAN, the Alexandria database).

a b c (Å): 2.718 3.910 7.275
angles (deg): 105.59 100.77 90.00
Element x y z (fractional)
Ag  0.900  0.900  0.801
Rh  0.705  0.705  0.409
Ag  0.100  0.100  0.199
Rh  0.500  0.500  0.000
Rh  0.295  0.295  0.591

Magnetization ... 2.59 μB per cell
Symmetry ... No. 71
Offset from the most stable computed form ... 48 meV/atom
D(E_F) ... 5.413 states/eV per cell
Formation energy ... 143.6 kJ/mol of formula units

=====

# LiHgRu2

A crystal of LiHgRu2 relaxed with PBEsol (SCAN, the Alexandria database).

a b c (Å): 2.745 2.745 9.373
angles (deg): 81.58 81.58 60.00
Element x y z (fractional)
Ru  0.253  0.253  0.241
Hg  0.500  0.500  0.500
Ru  0.747  0.747  0.759
Li  0.000  0.000  0.000

Magnetization ... 2.10 μB per cell
Symmetry ... No. 166
D(E_F) ... 2.486 states/eV per cell
Formation energy ... 208.3 kJ/mol of formula units

=====

# NaVCdO4

A crystal of NaVCdO4 relaxed with PBEsol (SCAN, the Alexandria database).

a b c (Å): 5.553 5.553 6.779
angles (deg): 90.00 90.00 113.97
Element x y z (fractional)
Na  0.500  0.500  0.000
O  0.256  0.197  0.750
O  0.744  0.803  0.250
O  0.751  0.249  0.045
O  0.249  0.751  0.955
O  0.249  0.751  0.545
O  0.197  0.256  0.250
Cd  0.177  0.823  0.250
Na  0.500  0.500  0.500
O  0.803  0.744  0.750
Cd  0.823  0.177  0.750
V  0.860  0.140  0.250
O  0.751  0.249  0.455
V  0.140  0.860  0.750

Magnetization ... 0.00 μB per cell
Symmetry ... No. 63
E_tot ... -183.9 eV/cell
D(E_F) ... 0.000 states/eV per cell

=====

# Ir3Au

A crystal of Ir3Au relaxed with PBEsol (SCAN, the Alexandria database).

a b c (Å): 2.746 2.746 7.834
angles (deg): 90.00 90.00 90.00
Element x y z (fractional)
Au  0.000  0.000  0.000
Ir  0.500  0.500  0.266
Ir  0.000  0.000  0.500
Ir  0.500  0.500  0.734

Magnetization ... 0.00 μB per cell
Symmetry ... No. 123
D(E_F) ... 3.216 states/eV per cell
Formation energy ... 81.6 kJ/mol of formula units

=====

# InTcPb2

A crystal of InTcPb2 relaxed with PBEsol (SCAN, the Alexandria database).

a b c (Å): 4.419 4.419 5.569
angles (deg): 113.37 113.37 90.00
Element x y z (fractional)
Pb  0.000  0.000  0.000
In  0.250  0.750  0.500
Pb  0.750  0.250  0.500
Tc  0.500  0.500  0.000

Magnetization ... 2.85 μB per cell
Symmetry ... No. 119
D(E_F) ... 2.137 states/eV per cell
Formation energy ... 258.8 kJ/mol of formula units

=====

# Zr2TeCl

A crystal of Zr2TeCl relaxed with PBEsol (SCAN, the Alexandria database).

a b c (Å): 3.241 3.241 9.559
angles (deg): 90.00 90.00 107.28
Element x y z (fractional)
Zr  0.500  0.500  0.744
Zr  0.000  0.000  0.989
Cl  0.000  0.000  0.562
Te  0.500  0.500  0.206

Magnetization ... 0.41 μB per cell
Symmetry ... No. 35
Offset from the most stable computed form ... 0 meV/atom
D(E_F) ... 1.921 states/eV per cell

=====

# LiZnRu2

A crystal of LiZnRu2 relaxed with PBEsol (SCAN, the Alexandria database).

a b c (Å): 2.626 2.626 8.971
angles (deg): 90.00 90.00 117.27
Element x y z (fractional)
Li  0.500  0.500  0.246
Ru  0.000  0.000  0.996
Zn  0.000  0.000  0.504
Ru  0.500  0.500  0.755

Magnetization ... 1.25 μB per cell
Symmetry ... No. 35
D(E_F) ... 3.118 states/eV per cell
Formation energy ... 76.2 kJ/mol of formula units

=====

# TbB2

A crystal of TbB2 relaxed with PBEsol (SCAN, the Alexandria database).

a b c (Å): 3.278 3.278 3.862
angles (deg): 90.00 90.00 120.00
Element x y z (fractional)
B  0.333  0.667  0.500
B  0.667  0.333  0.500
Tb  0.000  0.000  0.000

Magnetization ... 0.00 μB per cell
Symmetry ... No. 191
D(E_F) ... 1.003 states/eV per cell
Formation energy ... -174.4 kJ/mol of formula units

=====

# NaAsN2

A crystal of NaAsN2 relaxed with PBEsol (SCAN, the Alexandria database).

a b c (Å): 3.798 3.798 6.219
angles (deg): 72.22 72.22 60.00
Element x y z (fractional)
N  0.095  0.095  0.714
As  0.000  0.000  0.000
Na  0.500  0.500  0.500
N  0.905  0.905  0.286

Magnetization ... 0.00 μB per cell
Symmetry ... No. 166
E_tot ... -40.5 eV/cell

=====

# NiAgAu2

A crystal of NiAgAu2 relaxed with PBEsol (SCAN, the Alexandria database).

a b c (Å): 3.974 3.855 3.974
angles (deg): 90.00 90.00 90.00
Element x y z (fractional)
Ni  0.500  0.500  0.000
Ag  0.000  0.500  0.500
Au  0.000  0.000  0.000
Au  0.500  0.000  0.500

Magnetization ... 0.31 μB per cell
Symmetry ... No. 123
Offset from the most stable computed form ... 83 meV/atom
D(E_F) ... 2.258 states/eV per cell
Formation energy ... 35.6 kJ/mol of formula units

=====

# Li2V3TeO8

A crystal of Li2V3TeO8 relaxed with PBEsol (SCAN, the Alexandria database).

a b c (Å): 5.788 5.788 6.200
angles (deg): 62.18 62.18 60.00
Element x y z (fractional)
V  0.500  0.000  0.000
O  0.252  0.721  0.775
O  0.721  0.252  0.775
O  0.748  0.748  0.225
O  0.252  0.252  0.775
Li  0.125  0.125  0.624
Li  0.875  0.875  0.376
O  0.279  0.748  0.225
O  0.748  0.279  0.225
O  0.265  0.265  0.206
Te  0.500  0.500  0.500
V  0.000  0.500  0.000
V  0.500  0.500  0.000
O  0.735  0.735  0.794

Magnetization ... 5.00 μB per cell
Symmetry ... No. 166
Offset from the most stable computed form ... 49 meV/atom
D(E_F) ... 1.390 states/eV per cell

=====

# Co7Pt

A crystal of Co7Pt relaxed with PBEsol (SCAN, the Alexandria database).

a b c (Å): 5.004 5.004 5.004
angles (deg): 60.00 60.00 60.00
Element x y z (fractional)
Co  0.500  0.500  0.500
Co  0.000  0.500  0.500
Co  0.000  0.000  0.500
Co  0.500  0.000  0.000
Co  0.500  0.000  0.500
Co  0.500  0.500  0.000
Pt  0.000  0.000  0.000
Co  0.000  0.500  0.000

Magnetization ... 13.50 μB per cell
Symmetry ... No. 225
D(E_F) ... 5.777 states/eV per cell
Formation energy ... -22.7 kJ/mol of formula units

=====

# H2S

A crystal of H2S relaxed with PBEsol (SCAN, the Alexandria database).

a b c (Å): 4.746 5.629 5.906
angles (deg): 93.98 90.65 88.63
Element x y z (fractional)
H  0.202  0.339  0.943
H  0.079  0.088  0.716
S  0.257  0.278  0.720
S  0.759  0.266  0.245
H  0.415  0.759  0.051
H  0.907  0.585  0.700
H  0.681  0.257  0.022
H  0.588  0.761  0.553
S  0.746  0.789  0.748
S  0.254  0.735  0.240
H  0.581  0.085  0.282
H  0.089  0.935  0.205

Magnetization ... 0.00 μB per cell
Symmetry ... No. 1
Offset from the most stable computed form ... 8 meV/atom
D(E_F) ... 0.000 states/eV per cell